DFT (GGA-PBE) results for a geometry-optimized KSnB structure.

Calculated density: 3.4 g cm⁻³
DFT total energy: -21.57 eV/cell

Cell lengths 4.5012, 6.6139, 5.4787 Å; angles 90.00, 92.44, 90.00 degrees
With the nearest neighbours (Å) after each atom.
Space group P2 (No. 3)
One atom of each set of equivalent atoms:
K  0.0000  0.0000  0.0000 [1 per cell]  4 B 3.35-3.47, 2 Sn 3.60, 2 K 3.74
K  0.5000  0.2117  0.5000 [1 per cell]  2 B 3.13, 2 Sn 3.34
Sn  0.0000  0.5850  0.5000 [1 per cell]  2 B 2.45
Sn  0.5000  0.5761  0.0000 [1 per cell]  2 B 2.30
B  0.4622  0.7538  0.6393 [2 per cell]  1 B 1.58

=====

DFT (GGA-PBE) results for a geometry-optimized PmBiF structure.

Uncorrected formation energy: -1.855 eV/atom
Calculated density: 8.8 g cm⁻³
Energy above the most stable polymorph in this dataset: 232 meV per atom

Cell lengths 3.4451, 3.4451, 11.8716 Å; angles 90.00, 90.00, 90.00 degrees
With the nearest neighbours (Å) after each atom.
Space group I4mm (No. 107)
One atom of each set of equivalent atoms:
Pm  0.0000  0.0000  0.0000 [2 per cell]  4 F 2.53
Bi  0.0000  0.0000  0.2890 [2 per cell]  1 F 3.19, 5 Pm 3.43-3.49, 4 Bi 3.45
F  0.0000  0.0000  0.5574 [2 per cell]  4 Pm 2.53